Record 1
Crystalline NpCu6Pt6 at its relaxed geometry, computed with GGA-PBE.

Cell lengths 6.670, 6.670, 6.670 Å; angles 135.54, 99.80, 96.66 degrees
Sites, in units of the cell vectors:
Np (0.000, 0.000, 0.000)
Cu (0.000, 0.000, 0.500)
Cu (0.000, 0.500, 0.000)
Cu (0.237, 0.737, 0.500)
Cu (0.500, 0.000, 0.000)
Cu (0.500, 0.500, 0.500)
Cu (0.763, 0.263, 0.500)
Pt (0.191, 0.500, 0.691)
Pt (0.338, 0.000, 0.338)
Pt (0.344, 0.344, 0.000)
Pt (0.656, 0.656, 0.000)
Pt (0.662, 0.000, 0.662)
Pt (0.809, 0.500, 0.309)

---

Record 2
Crystalline Tb4Er3Sc at its relaxed geometry, computed with GGA-PBE.

Calculated values
Energy above the lowest structure with this stoichiometry: 0 meV per atom

Cell lengths 11.112, 7.166, 6.198 Å; angles 90.00, 90.00, 90.00 degrees
Sites, in units of the cell vectors:
Tb (0.000, 0.128, 0.000)
Tb (0.000, 0.872, 0.493)
Tb (0.246, 0.871, 0.832)
Tb (0.254, 0.129, 0.332)
Tb (0.500, 0.128, 0.993)
Tb (0.500, 0.872, 0.500)
Tb (0.746, 0.129, 0.332)
Tb (0.754, 0.871, 0.832)
Er (0.000, 0.378, 0.496)
Er (0.249, 0.378, 0.827)
Er (0.251, 0.622, 0.327)
Er (0.500, 0.622, 0.996)
Er (0.749, 0.622, 0.327)
Er (0.751, 0.378, 0.827)
Sc (0.000, 0.622, 0.996)
Sc (0.500, 0.378, 0.496)

---

Record 3
Crystalline Ti3Cu3Pd2 at its relaxed geometry, computed with GGA-PBE.

Calculated values
Energy above the lowest structure with this stoichiometry: 71 meV per atom

Cell lengths 6.764, 6.764, 3.092 Å; angles 90.00, 90.00, 120.00 degrees
Sites, in units of the cell vectors:
Ti (0.000, 0.612, 0.000)
Ti (0.388, 0.388, 0.000)
Ti (0.612, 0.000, 0.000)
Cu (0.000, 0.225, 0.500)
Cu (0.225, 0.000, 0.500)
Cu (0.775, 0.775, 0.500)
Pd (0.333, 0.667, 0.500)
Pd (0.667, 0.333, 0.500)

---

Record 4
Crystalline Ac2DyAl at its relaxed geometry, computed with GGA-PBE.

Calculated values
Energy above the lowest structure with this stoichiometry: 76 meV per atom

Cell lengths 8.142, 8.142, 8.142 Å; angles 90.00, 90.00, 90.00 degrees
Sites, in units of the cell vectors:
Ac (0.250, 0.250, 0.250)
Ac (0.250, 0.250, 0.750)
Ac (0.250, 0.750, 0.250)
Ac (0.250, 0.750, 0.750)
Ac (0.750, 0.250, 0.250)
Ac (0.750, 0.250, 0.750)
Ac (0.750, 0.750, 0.250)
Ac (0.750, 0.750, 0.750)
Dy (0.000, 0.000, 0.000)
Dy (0.000, 0.500, 0.500)
Dy (0.500, 0.000, 0.500)
Dy (0.500, 0.500, 0.000)
Al (0.000, 0.000, 0.500)
Al (0.000, 0.500, 0.000)
Al (0.500, 0.000, 0.000)
Al (0.500, 0.500, 0.500)

---

It is found that the E_form values, taken in the order of the records, are -0.2540; 0.0168; -0.1903; 0.0255 eV per atom.
It is found that the ρ values, taken in the order of the records, are 15.445; 7.956; 7.415; 7.920 g cm⁻³.